No. 1
DFT (PBE) results for a relaxed Ba5Sr12Ac2 crystal.

```
data_Ba5Sr12Ac2
_symmetry_space_group_name_H-M 'C 1 2/m 1'
_symmetry_Int_Tables_number 12
_cell_length_a 24.1060
_cell_length_b 10.3539
_cell_length_c 9.3059
_cell_angle_alpha 90.00
_cell_angle_beta 103.52
_cell_angle_gamma 90.00
loop_
_symmetry_equiv_pos_as_xyz
'x,y,z'
'-x,-y,-z'
'-x,y,-z'
'x,-y,z'
'x+1/2,y+1/2,z'
'-x+1/2,-y+1/2,-z'
'-x+1/2,y+1/2,-z'
'x+1/2,-y+1/2,z'
loop_
_atom_site_label
_atom_site_type_symbol
_atom_site_fract_x
_atom_site_fract_y
_atom_site_fract_z
Ba1 Ba 0.0000 0.0000 0.0000
Ba2 Ba 0.1998 0.0000 0.2078
Ba3 Ba 0.2492 0.0000 0.7907
Sr1 Sr 0.0537 0.5000 0.1819
Sr2 Sr 0.0822 0.0000 0.5652
Sr3 Sr 0.1229 0.2957 0.8823
Sr4 Sr 0.1662 0.3038 0.4823
Ac1 Ac 0.0000 0.3306 0.5000
```

Output
Fermi-level density of states, states/eV per atom: 1.343

No. 2
DFT (PBE) results for a relaxed Ta2MnCr crystal.

```
data_Ta2MnCr
_symmetry_space_group_name_H-M 'I m m m'
_symmetry_Int_Tables_number 71
_symmetry_space_group_name_Hall '-I 2 2'
_cell_length_a 3.1355
_cell_length_b 4.5719
_cell_length_c 8.3024
_cell_angle_alpha 90.00
_cell_angle_beta 90.00
_cell_angle_gamma 90.00
loop_
_atom_site_label
_atom_site_type_symbol
_atom_site_fract_x
_atom_site_fract_y
_atom_site_fract_z
Ta1 Ta 0.0000 0.0000 0.2474
Mn1 Mn 0.0000 0.5000 0.5000
Cr1 Cr 0.0000 0.5000 0.0000
```

Output
Fermi-level density of states, states/eV per atom: 0.657

No. 3
DFT (PBE) results for a relaxed Be2FePd crystal.

```
data_Be2FePd
_symmetry_space_group_name_H-M 'I -4 2 d'
_symmetry_Int_Tables_number 122
_symmetry_space_group_name_Hall 'I -4 2bw'
_cell_length_a 6.0182
_cell_length_b 6.0182
_cell_length_c 5.0797
_cell_angle_alpha 90.00
_cell_angle_beta 90.00
_cell_angle_gamma 90.00
loop_
_atom_site_label
_atom_site_type_symbol
_atom_site_fract_x
_atom_site_fract_y
_atom_site_fract_z
Be1 Be 0.2459 0.2500 0.1250
Fe1 Fe 0.0000 0.0000 0.0000
Pd1 Pd 0.0000 0.0000 0.5000
```

Output
Fermi-level density of states, states/eV per atom: 0.465

Number 1: total magnetic moment 0.00 μB/cell, ΔH_f (0 K) 0.176 eV/atom, calculated total energy -69.34 eV/cell. Number 2: total magnetic moment 0.00 μB/cell, ΔH_f (0 K) 0.088 eV/atom, calculated total energy -84.29 eV/cell. Number 3: total magnetic moment 8.45 μB/cell, ΔH_f (0 K) 0.134 eV/atom, calculated total energy -82.29 eV/cell.